[1]
Entry from OQMD: a relaxed structure of UCdRe (PBE).

Values from the calculation:
* magnetization: 1.1 μB per cell
* total energy: -7.41 eV per atom
* formation enthalpy at 0 K: 0.79 eV/atom
* space group: No. 216
* energy above the most stable polymorph in this dataset: 0.0 meV per atom

a b c (Å): 4.604 4.604 4.604
angles (deg): 60.00 60.00 60.00
Fractional positions:
1 U 0.000 0.000 0.000
2 Cd 0.500 0.500 0.500
3 Re 0.250 0.250 0.250

=====

[2]
Entry from OQMD: a relaxed structure of Tm6Ni2Sn (PBE).

Values from the calculation:
* magnetization: 0.0 μB per cell
* total energy: -5.10 eV per atom
* space group: No. 71

a b c (Å): 8.281 8.281 8.281
angles (deg): 112.83 109.95 105.71
Fractional positions:
1 Tm 0.028 0.233 0.795
2 Tm 0.182 0.294 0.476
3 Tm 0.182 0.706 0.889
4 Tm 0.326 0.018 0.692
5 Tm 0.326 0.634 0.308
6 Tm 0.438 0.233 0.205
7 Tm 0.562 0.767 0.795
8 Tm 0.674 0.366 0.692
9 Tm 0.674 0.982 0.308
10 Tm 0.818 0.294 0.111
11 Tm 0.818 0.706 0.524
12 Tm 0.972 0.767 0.205
13 Ni 0.126 0.626 0.500
14 Ni 0.351 0.000 0.351
15 Ni 0.649 0.000 0.649
16 Ni 0.874 0.374 0.500
17 Sn 0.000 0.000 0.000
18 Sn 0.500 0.500 0.000

=====

[3]
Entry from OQMD: a relaxed structure of HoHfBe (PBE).

Values from the calculation:
* magnetization: 1.0 μB per cell
* total energy: -4.92 eV per atom
* space group: No. 216
* energy above the most stable polymorph in this dataset: 0.0 meV per atom

a b c (Å): 4.656 4.656 4.656
angles (deg): 60.00 60.00 60.00
Fractional positions:
1 Ho 0.000 0.000 0.000
2 Hf 0.750 0.750 0.750
3 Be 0.500 0.500 0.500

=====

[4]
Entry from OQMD: a relaxed structure of ScInCoOs (PBE).

Values from the calculation:
* magnetization: 2.6 μB per cell
* total energy: -6.69 eV per atom
* space group: No. 216
* energy above the most stable polymorph in this dataset: 208.0 meV per atom

a b c (Å): 4.533 4.533 4.533
angles (deg): 60.00 60.00 60.00
Fractional positions:
1 Sc 0.000 0.000 0.000
2 In 0.250 0.250 0.250
3 Co 0.500 0.500 0.500
4 Os 0.750 0.750 0.750

=====

[5]
Entry from OQMD: a relaxed structure of Dy4GeI5 (PBE).

Values from the calculation:
* magnetization: 0.0 μB per cell
* total energy: -4.25 eV per atom
* space group: No. 12

a b c (Å): 9.762 9.762 8.799
angles (deg): 102.20 102.20 24.85
Fractional positions:
1 Dy 0.000 0.000 0.211
2 Dy 0.000 0.000 0.789
3 Dy 0.353 0.353 0.927
4 Dy 0.647 0.647 0.073
5 Ge 0.500 0.500 0.000
6 I 0.166 0.166 0.335
7 I 0.172 0.172 0.828
8 I 0.500 0.500 0.500
9 I 0.828 0.828 0.172
10 I 0.834 0.834 0.665

=====

[6]
Entry from OQMD: a relaxed structure of LiNb3Bi4O14 (PBE).

Values from the calculation:
* magnetization: 0.0 μB per cell
* total energy: -7.33 eV per atom
* space group: No. 15

a b c (Å): 7.601 7.601 12.118
angles (deg): 100.00 100.00 60.71
Fractional positions:
1 Li 0.035 0.965 0.750
2 Li 0.965 0.035 0.250
3 Nb 0.125 0.373 0.761
4 Nb 0.364 0.636 0.250
5 Nb 0.373 0.125 0.261
6 Nb 0.627 0.875 0.739
7 Nb 0.636 0.364 0.750
8 Nb 0.875 0.627 0.239
9 Bi 0.007 0.228 0.006
10 Bi 0.228 0.007 0.506
11 Bi 0.243 0.525 0.527
12 Bi 0.475 0.757 0.973
13 Bi 0.525 0.243 0.027
14 Bi 0.757 0.475 0.473
15 Bi 0.772 0.993 0.494
16 Bi 0.993 0.772 0.994
17 O 0.053 0.353 0.587
18 O 0.059 0.728 0.217
19 O 0.061 0.345 0.217
20 O 0.078 0.885 0.590
21 O 0.115 0.922 0.910
22 O 0.228 0.352 0.917
23 O 0.272 0.941 0.283
24 O 0.345 0.061 0.717
25 O 0.352 0.228 0.417
26 O 0.352 0.427 0.731
27 O 0.353 0.053 0.087
28 O 0.353 0.638 0.083
29 O 0.362 0.647 0.417
30 O 0.427 0.352 0.231
31 O 0.573 0.648 0.769
32 O 0.638 0.353 0.583
33 O 0.647 0.362 0.917
34 O 0.647 0.947 0.913
35 O 0.648 0.573 0.269
36 O 0.648 0.772 0.583
37 O 0.655 0.939 0.283
38 O 0.728 0.059 0.717
39 O 0.772 0.648 0.083
40 O 0.885 0.078 0.090
41 O 0.922 0.115 0.410
42 O 0.939 0.655 0.783
43 O 0.941 0.272 0.783
44 O 0.947 0.647 0.413

=====

[7]
Entry from OQMD: a relaxed structure of BaSbPtAu (PBE).

Values from the calculation:
* magnetization: 0.0 μB per cell
* total energy: -3.91 eV per atom
* space group: No. 216
* energy above the most stable polymorph in this dataset: 240.0 meV per atom

a b c (Å): 5.208 5.208 5.208
angles (deg): 60.00 60.00 60.00
Fractional positions:
1 Ba 0.000 0.000 0.000
2 Sb 0.250 0.250 0.250
3 Pt 0.750 0.750 0.750
4 Au 0.500 0.500 0.500

=====

[8]
Entry from OQMD: a relaxed structure of PaPPtO (PBE).

Values from the calculation:
* magnetization: 0.0 μB per cell
* total energy: -7.34 eV per atom
* space group: No. 26
* energy above the most stable polymorph in this dataset: 451.5 meV per atom

a b c (Å): 4.036 5.609 6.396
angles (deg): 90.00 90.00 90.00
Fractional positions:
1 Pa 0.000 0.233 0.000
2 Pa 0.000 0.767 0.500
3 P 0.500 0.150 0.701
4 P 0.500 0.850 0.201
5 Pt 0.500 0.229 0.341
6 Pt 0.500 0.771 0.841
7 O 0.000 0.461 0.291
8 O 0.000 0.539 0.791

=====

[9]
Entry from OQMD: a relaxed structure of HoTm6Ni2Te2 (PBE).

Values from the calculation:
* magnetization: 0.0 μB per cell
* total energy: -5.12 eV per atom
* space group: No. 44

a b c (Å): 9.236 9.236 9.236
angles (deg): 156.17 66.96 118.47
Fractional positions:
1 Ho 0.000 0.000 0.000
2 Tm 0.065 0.379 0.685
3 Tm 0.084 0.730 0.353
4 Tm 0.377 0.730 0.647
5 Tm 0.450 0.583 0.867
6 Tm 0.694 0.379 0.315
7 Tm 0.716 0.583 0.133
8 Ni 0.310 0.072 0.238
9 Ni 0.834 0.072 0.762
10 Te 0.337 0.337 0.000
11 Te 0.735 0.235 0.500

=====

[10]
Entry from OQMD: a relaxed structure of ScCoGe (PBE).

Values from the calculation:
* magnetization: 0.9 μB per cell
* total energy: -5.77 eV per atom
* space group: No. 216

a b c (Å): 4.321 4.321 4.321
angles (deg): 60.00 60.00 60.00
Fractional positions:
1 Sc 0.000 0.000 0.000
2 Co 0.750 0.750 0.750
3 Ge 0.250 0.250 0.250

=====

[11]
Entry from OQMD: a relaxed structure of Ta3AgAs5 (PBE).

Values from the calculation:
* magnetization: 0.0 μB per cell
* total energy: -6.79 eV per atom
* space group: No. 191

a b c (Å): 5.549 5.549 7.664
angles (deg): 90.00 90.00 120.00
Fractional positions:
1 Ta 0.000 0.500 0.000
2 Ta 0.500 0.000 0.000
3 Ta 0.500 0.500 0.000
4 Ag 0.000 0.000 0.500
5 As 0.000 0.000 0.000
6 As 0.333 0.667 0.285
7 As 0.333 0.667 0.715
8 As 0.667 0.333 0.285
9 As 0.667 0.333 0.715

=====

[12]
Entry from OQMD: a relaxed structure of SrTlZn (PBE).

Values from the calculation:
* total energy: -1.57 eV per atom
* space group: No. 216

a b c (Å): 5.300 5.300 5.300
angles (deg): 60.00 60.00 60.00
Fractional positions:
1 Sr 0.000 0.000 0.000
2 Tl 0.750 0.750 0.750
3 Zn 0.250 0.250 0.250

=====

- Number 11 is which compound?
  Ta3AgAs5

=====

- Which formula does entry 9 have?
  HoTm6Ni2Te2

=====

- The lowest total energy belongs to which entry?
  UCdRe

=====

- Among the records above, which one has the lowest total energy?
  UCdRe